Density functional theory data (PBE) for crystalline Nd4GeAsSe2 at its relaxed geometry.

Unit cell a=7.3936 b=4.2715 c=7.4080 alpha=90.00 beta=109.40 gamma=90.00
Space group P2/m (No. 10)
One atom of each set of equivalent atoms:
Nd: 0.2450 0.0000 0.2401
Nd: 0.2517 0.5000 0.7608
Ge: 0.0000 0.5000 0.0000
As: 0.5000 0.0000 0.0000
Se: 0.0000 0.0000 0.5000
Se: 0.5000 0.5000 0.5000

The energy relative to the elements, uncorrected comes out at -1585 meV per atom. Its total moment is 0.00 μB per cell. The total energy comes out at -5.9987 eV per atom.

***

Density functional theory data (PBE) for crystalline Nd6Ge2AsSe3 at its relaxed geometry.

Unit cell a=18.6495 b=4.2749 c=8.5686 alpha=90.00 beta=103.35 gamma=90.00
Space group C2/m (No. 12)
One atom of each set of equivalent atoms:
Nd: 0.0032 0.0000 0.2456
Nd: 0.1650 0.5000 0.0905
Nd: 0.1687 0.5000 0.5779
Ge: 0.1663 0.0000 0.3327
As: 0.0000 0.5000 0.0000
Se: 0.0000 0.5000 0.5000
Se: 0.1659 0.0000 0.8340

The energy relative to the elements, uncorrected comes out at -1525 meV per atom. Its total moment is 0.00 μB per cell. The total energy comes out at -5.9368 eV per atom.

***

Density functional theory data (PBE) for crystalline Nd4GeAs2Se at its relaxed geometry.

Unit cell a=7.4055 b=4.2582 c=7.4137 alpha=90.00 beta=109.30 gamma=90.00
Space group P2/m (No. 10)
One atom of each set of equivalent atoms:
Nd: 0.2450 0.0000 0.2430
Nd: 0.2476 0.5000 0.7511
Ge: 0.5000 0.0000 0.0000
As: 0.0000 0.0000 0.5000
As: 0.0000 0.5000 0.0000
Se: 0.5000 0.5000 0.5000

The energy relative to the elements, uncorrected comes out at -1463 meV per atom. Its total moment is 0.00 μB per cell. The total energy comes out at -6.0223 eV per atom.